Density functional theory data (PBE+U) for an optimized crystal structure of Co3O2F4.

Summary:
Relative energy among the computed polymorphs, eV per atom: 0.017
Crystal system: triclinic

```
data_Co3O2F4
_symmetry_space_group_name_H-M 'P -1'
_symmetry_Int_Tables_number 2
_symmetry_space_group_name_Hall '-P 1'
_cell_length_a 5.485
_cell_length_b 5.564
_cell_length_c 7.148
_cell_angle_alpha 73.71
_cell_angle_beta 73.63
_cell_angle_gamma 72.27
loop_
_atom_site_label
_atom_site_fract_x
_atom_site_fract_y
_atom_site_fract_z
Co1 0.000 0.000 0.000
Co2 0.000 0.000 0.500
Co3 0.306 0.320 0.161
Co4 0.308 0.370 0.679
O1 0.023 0.670 0.669
O2 0.212 0.232 0.970
F1 0.081 0.118 0.705
F2 0.320 0.703 0.991
F3 0.379 0.940 0.341
F4 0.416 0.426 0.365
```